# 1
Compound: LiTl2ZnF6
Source: Alexandria via LeMat-Bulk
Functional: GGA-PBE
Structure: optimized geometry

The structure belongs to space group Immm (No. 71); the cell edges are 5.767, 5.783 and 8.165 Å and the angles 90.00°, 90.00° and 90.00°. The inequivalent atoms are Li at (0.000, 0.000, 0.000), Tl at (0.000, 0.500, 0.250), Zn at (0.000, 0.000, 0.500), F at (0.000, 0.000, 0.249) and F at (0.250, 0.249, 0.000).

The mass density is 7.3 g/cm³. The value obtained for the energy relative to the elements, uncorrected is -2.102 eV per atom.

***

# 2
Compound: CsPBrCl2
Source: Alexandria via LeMat-Bulk
Functional: GGA-PBE
Structure: optimized geometry

The structure belongs to space group P4/mmm (No. 123); the cell edges are 6.256, 6.256 and 4.649 Å and the angles 90.00°, 90.00° and 90.00°. The inequivalent atoms are Cs at (0.000, 0.000, 0.000), P at (0.500, 0.500, 0.000), Br at (0.500, 0.500, 0.500) and Cl at (0.000, 0.500, 0.500).

The mass density is 2.9 g/cm³. For the excess energy over the best structure of this formula in the dataset, the calculation gives 0.0 meV/atom. The value obtained for the energy relative to the elements, uncorrected is -0.213 eV per atom.

***

# 3
Compound: GdPaNb4
Source: Alexandria via LeMat-Bulk
Functional: GGA-PBE
Structure: optimized geometry

The structure belongs to space group F-43m (No. 216); the cell edges are 8.045, 8.045 and 8.045 Å and the angles 90.00°, 90.00° and 90.00°. The inequivalent atoms are Gd at (0.000, 0.000, 0.000), Pa at (0.250, 0.250, 0.250) and Nb at (0.124, 0.124, 0.624).

The mass density is 9.7 g/cm³. Its formation energy is 0.17 eV per atom.

***

# 4
Compound: Tl5Te3S12
Source: Alexandria via LeMat-Bulk
Functional: GGA-PBE
Structure: optimized geometry

The structure belongs to space group Ia-3d (No. 230); the cell edges are 16.361, 16.361 and 16.361 Å and the angles 90.00°, 90.00° and 90.00°. The inequivalent atoms are Tl at (0.000, 0.000, 0.000), Tl at (0.000, 0.250, 0.375), Te at (0.000, 0.250, 0.125) and S at (0.009, 0.052, 0.659).

The mass density is 5.4 g/cm³. The value obtained for the energy relative to the elements, uncorrected is 0.190 eV per atom.